First-principles (PBE-GGA) data for crystalline PrPaZnO6 at its relaxed geometry, as listed in Alexandria.

## Properties
Its total energy is -7.36 eV per atom.

Unit cell a=5.5279 b=5.5279 c=4.9351 alpha=90.00 beta=90.00 gamma=120.00
Fractional coordinates of all 9 atoms:
Pr: 0.0000 0.0000 0.0000
Pa: 0.6667 0.3333 0.5000
Zn: 0.3333 0.6667 0.0000
O: 0.0001 0.3711 0.2451
O: 0.0001 0.6290 0.7549
O: 0.3710 0.9999 0.2451
O: 0.3710 0.3711 0.7549
O: 0.6289 0.9999 0.7549
O: 0.6289 0.6290 0.2451